Computed, not measured: crystalline FePO4 at its relaxed geometry at the PBE with a Hubbard U level of DFT.

Cell: 4.757 4.757 6.446 Å, 90.00 90.00 112.68°
Positions (direct):
1 O 0.779 0.706 0.250
2 Fe 0.000 0.000 0.000
3 O 0.221 0.294 0.750
4 O 0.760 0.240 0.448
5 Fe 0.000 0.000 0.500
6 O 0.760 0.240 0.052
7 O 0.240 0.760 0.552
8 P 0.653 0.347 0.250
9 P 0.347 0.653 0.750
10 O 0.706 0.779 0.750
11 O 0.294 0.221 0.250
12 O 0.240 0.760 0.948

Values from the calculation:
E: -85.00 eV/cell
Fermi-level density of states: 0.000 states/eV per atom
Mass density: 3.72 g/cm³
Spin magnetization: 10.0 μB/cell
Space group: No. 63